(1)
PBE CdFeCoI2, relaxed; formation energy (no corrections) = 23.33 kcal/mol of atoms; space-group type = No. 123
1.0
5.3328 0.0000 0.0000
0.0000 5.3328 0.0000
0.0000 0.0000 5.2111
Cd Fe Co I
1 1 1 2
direct
0.0000 0.0000 0.0000 Cd
0.0000 0.0000 0.5000 Fe
0.5000 0.5000 0.0000 Co
0.0000 0.5000 0.5000 I
0.5000 0.0000 0.5000 I

(2)
PBE GaTeP2Cl, relaxed; formation energy (no corrections) = 10.55 kcal/mol of atoms; space-group type = No. 123; energy above the most stable polymorph in this dataset = 0.000 eV/atom
1.0
4.8663 0.0000 0.0000
0.0000 4.8663 0.0000
0.0000 0.0000 4.6064
Ga Te P Cl
1 1 2 1
direct
0.0000 0.0000 0.0000 Ga
0.5000 0.5000 0.5000 Te
0.0000 0.5000 0.0000 P
0.5000 0.0000 0.0000 P
0.0000 0.0000 0.5000 Cl

(3)
PBE Y8Cd2Co, relaxed; space-group type = No. 12; E = -5.643 eV per atom
1.0
8.7901 -2.6936 0.0000
8.7901 2.6936 0.0000
-2.3516 0.0000 6.4556
Y Cd Co
8 2 1
direct
0.0198 0.0198 0.2852 Y
0.1995 0.1995 0.7873 Y
0.3526 0.3526 0.5509 Y
0.4097 0.4097 0.0838 Y
0.5903 0.5903 0.9162 Y
0.6474 0.6474 0.4491 Y
0.8005 0.8005 0.2127 Y
0.9802 0.9802 0.7148 Y
0.1825 0.1825 0.2108 Cd
0.8175 0.8175 0.7892 Cd
0.5000 0.5000 0.5000 Co

Please write out number 3 again, unchanged.
PBE Y8Cd2Co, relaxed; space-group type = No. 12; E = -5.643 eV per atom
1.0
8.7901 -2.6936 0.0000
8.7901 2.6936 0.0000
-2.3516 0.0000 6.4556
Y Cd Co
8 2 1
direct
0.0198 0.0198 0.2852 Y
0.1995 0.1995 0.7873 Y
0.3526 0.3526 0.5509 Y
0.4097 0.4097 0.0838 Y
0.5903 0.5903 0.9162 Y
0.6474 0.6474 0.4491 Y
0.8005 0.8005 0.2127 Y
0.9802 0.9802 0.7148 Y
0.1825 0.1825 0.2108 Cd
0.8175 0.8175 0.7892 Cd
0.5000 0.5000 0.5000 Co

Copy entry 2 word for word.
PBE GaTeP2Cl, relaxed; formation energy (no corrections) = 10.55 kcal/mol of atoms; space-group type = No. 123; energy above the most stable polymorph in this dataset = 0.000 eV/atom
1.0
4.8663 0.0000 0.0000
0.0000 4.8663 0.0000
0.0000 0.0000 4.6064
Ga Te P Cl
1 1 2 1
direct
0.0000 0.0000 0.0000 Ga
0.5000 0.5000 0.5000 Te
0.0000 0.5000 0.0000 P
0.5000 0.0000 0.0000 P
0.0000 0.0000 0.5000 Cl

Copy entry 3 word for word.
PBE Y8Cd2Co, relaxed; space-group type = No. 12; E = -5.643 eV per atom
1.0
8.7901 -2.6936 0.0000
8.7901 2.6936 0.0000
-2.3516 0.0000 6.4556
Y Cd Co
8 2 1
direct
0.0198 0.0198 0.2852 Y
0.1995 0.1995 0.7873 Y
0.3526 0.3526 0.5509 Y
0.4097 0.4097 0.0838 Y
0.5903 0.5903 0.9162 Y
0.6474 0.6474 0.4491 Y
0.8005 0.8005 0.2127 Y
0.9802 0.9802 0.7148 Y
0.1825 0.1825 0.2108 Cd
0.8175 0.8175 0.7892 Cd
0.5000 0.5000 0.5000 Co